NaSr3Ir | PBE-GGA | relaxed

Values from the calculation:
SG: No. 11
Total magnetization (μB/cell): 0.0
Distance to the lowest polymorph of the same formula (kJ/mol of atoms): 3.3
Energy relative to the elements (eV/atom): -0.09

Unit cell a=5.966 b=9.612 c=11.240 alpha=90.00 beta=37.60 gamma=90.00
Element x y z (fractional)
Sr  0.125  0.046  0.251
Ir  0.627  0.250  0.915
Sr  0.173  0.250  0.885
Ir  0.373  0.750  0.085
Na  0.307  0.250  0.464
Na  0.693  0.750  0.536
Sr  0.875  0.954  0.749
Sr  0.875  0.546  0.749
Sr  0.125  0.454  0.251
Sr  0.827  0.750  0.115